No. 1
Here is a relaxed Dy3MnTl4Te8 crystal from the Alexandria database. Energies are from PBE-GGA.

formation energy from raw total energies	-13.0	eV per formula unit
M_tot	0.276	μB per atom
final energy	-4.412	eV per atom

a = 8.7923 Å, b = 9.5081 Å, c = 8.7927 Å
α = 117.55°, β = 120.00°, γ = 90.00°
Last column: nearest neighbours and their distance in Å.
Element x y z (fractional)
Te 0.7720 0.2929 0.5441  1 Mn 2.94, 2 Dy 3.09
Te 0.2278 0.7070 0.9792  1 Mn 2.94, 2 Dy 3.09
Te 0.2280 0.7071 0.4559  1 Mn 2.94, 2 Dy 3.09
Te 0.2487 0.2930 0.0208  1 Mn 2.94, 2 Dy 3.09
Te 0.7513 0.7070 0.9792  1 Mn 2.94, 2 Dy 3.09
Te 0.2608 0.2825 0.5216  3 Dy 3.08, 3 Tl 3.41
Te 0.7722 0.2930 0.0208  1 Mn 2.94, 2 Dy 3.09
Te 0.7392 0.7175 0.4784  3 Dy 3.08, 3 Tl 3.41
Tl 0.5000 0.0000 0.0000  6 Te 3.55
Tl 0.0000 0.0000 0.0000  6 Te 3.41-3.42
Tl 0.0000 0.0000 0.5000  6 Te 3.41-3.42
Tl 0.5000 0.0000 0.5000  6 Te 3.41-3.42
Dy 0.0000 0.5000 0.5000  6 Te 3.08-3.09
Dy 0.5000 0.5000 0.5000  6 Te 3.08-3.09
Dy 0.5000 0.5000 0.0000  6 Te 3.08-3.09
Mn 0.0000 0.5000 0.0000  6 Te 2.94


No. 2
Here is a relaxed ZnCoIr2 crystal from the Alexandria database. Energies are from PBE-GGA.

M_tot	0.279	μB per atom
final energy	-6.540	eV per atom

a = 2.7294 Å, b = 2.7294 Å, c = 7.2468 Å
α = 90.00°, β = 90.00°, γ = 90.00°
Last column: nearest neighbours and their distance in Å.
Element x y z (fractional)
Co 0.5000 0.5000 0.7522  4 Ir 2.57, 4 Zn 2.59, 4 Co 2.73
Ir 0.0000 0.0000 0.9862  4 Co 2.57, 8 Ir 2.71-2.73
Ir 0.5000 0.5000 0.2483  8 Ir 2.71-2.73, 4 Zn 2.72
Zn 0.0000 0.0000 0.5133  4 Co 2.59, 4 Ir 2.72, 4 Zn 2.73


No. 3
Here is a relaxed GaNiAu3 crystal from the Alexandria database. Energies are from PBE-GGA.

M_tot	0.017	μB per atom
final energy	-3.196	eV per atom
E above lowest polymorph	0.000	eV per atom

a = 4.8268 Å, b = 4.8268 Å, c = 4.8268 Å
α = 90.00°, β = 90.00°, γ = 90.00°
Last column: nearest neighbours and their distance in Å.
Element x y z (fractional)
Au 0.0000 0.0000 0.5000  2 Ni 2.41
Au 0.5000 0.0000 0.0000  2 Ni 2.41
Au 0.0000 0.5000 0.0000  2 Ni 2.41
Ga 0.5000 0.5000 0.5000  12 Au 3.41
Ni 0.0000 0.0000 0.0000  6 Au 2.41


No. 4
Here is a relaxed TbCo2Ge3 crystal from the Alexandria database. Energies are from PBE-GGA.

M_tot	0.000	μB per atom
final energy	-5.901	eV per atom
E above lowest polymorph	0.000	eV per atom

a = 3.9286 Å, b = 8.0919 Å, c = 9.5778 Å
α = 103.67°, β = 90.00°, γ = 104.05°
Last column: nearest neighbours and their distance in Å.
Element x y z (fractional)
Ge 0.3568 0.7136 0.0798  4 Co 2.34-2.55, 1 Ge 2.52
Ge 0.6432 0.2864 0.9202  4 Co 2.34-2.55, 1 Ge 2.52
Ge 0.7721 0.5442 0.6238  3 Co 2.36-2.51
Ge 0.6400 0.2800 0.1817  4 Co 2.42-2.52, 1 Ge 2.52
Ge 0.9476 0.8951 0.6481  4 Co 2.32-2.45
Ge 0.5000 0.0000 0.5000  4 Co 2.48-2.50, 4 Ge 2.67
Ge 0.3600 0.7200 0.8183  4 Co 2.42-2.52, 1 Ge 2.52
Ge 0.0524 0.1049 0.3519  4 Co 2.32-2.45
Ge 0.2279 0.4558 0.3762  3 Co 2.36-2.51
Co 0.7930 0.5860 0.9184  5 Ge 2.36-2.55
Co 0.5036 0.0072 0.7624  5 Ge 2.32-2.50
Co 0.3565 0.7129 0.5645  7 Ge 2.36-2.51, 1 Co 2.61
Co 0.6435 0.2871 0.4355  7 Ge 2.36-2.51, 1 Co 2.61
Co 0.4964 0.9928 0.2376  5 Ge 2.32-2.50
Co 0.2070 0.4140 0.0816  5 Ge 2.36-2.55
Tb 0.1497 0.2994 0.6963  7 Ge 2.93-3.28, 4 Co 3.16-3.20
Tb 0.8503 0.7006 0.3037  7 Ge 2.93-3.28, 4 Co 3.16-3.20
Tb 0.0000 0.0000 0.0000  6 Co 3.02-3.15, 10 Ge 3.14-3.27


No. 5
Here is a relaxed BeW crystal from the Alexandria database. Energies are from PBE-GGA.

M_tot	0.000	μB per atom
final energy	-8.159	eV per atom
E above lowest polymorph	0.408	eV per atom

a = 2.6773 Å, b = 2.6773 Å, c = 3.5270 Å
α = 90.00°, β = 90.00°, γ = 99.36°
Last column: nearest neighbours and their distance in Å.
Element x y z (fractional)
Be 0.0000 0.0000 0.0000  8 W 2.47-2.70, 4 Be 2.68
W 0.5000 0.5000 0.5000  8 Be 2.47-2.70, 4 W 2.68


No. 6
Here is a relaxed CuSiC2 crystal from the Alexandria database. Energies are from PBE-GGA.

formation energy from raw total energies	3.5	eV per formula unit
M_tot	0.000	μB per atom
final energy	-6.124	eV per atom

a = 4.4343 Å, b = 4.4343 Å, c = 5.4689 Å
α = 66.08°, β = 66.08°, γ = 90.00°
Last column: nearest neighbours and their distance in Å.
Element x y z (fractional)
Cu 0.0000 0.0000 0.0000  4 C 1.98
Cu 0.7500 0.2500 0.5000  4 C 1.98
C 0.3750 0.3965 0.7500  2 Si 1.87, 2 Cu 1.98
C 0.1465 0.6250 0.2500  2 Si 1.87, 2 Cu 1.98
C 0.8750 0.8535 0.7500  2 Si 1.87, 2 Cu 1.98
C 0.6035 0.1250 0.2500  2 Si 1.87, 2 Cu 1.98
Si 0.5000 0.5000 0.0000  4 C 1.87
Si 0.2500 0.7500 0.5000  4 C 1.87


No. 7
Here is a relaxed Al2GeH2O6 crystal from the Alexandria database. Energies are from PBE-GGA.

M_tot	0.000	μB per atom
final energy	-6.530	eV per atom

a = 5.0412 Å, b = 5.0412 Å, c = 9.0713 Å
α = 83.70°, β = 83.70°, γ = 115.91°
Last column: nearest neighbours and their distance in Å.
Element x y z (fractional)
H 0.0283 0.8313 0.0475  1 O 0.98
H 0.8313 0.0283 0.5475  1 O 0.98
H 0.9717 0.1687 0.9525  1 O 0.98
H 0.1687 0.9717 0.4525  1 O 0.98
O 0.1147 0.4303 0.2369  1 Ge 1.78, 2 Al 1.91-1.94
O 0.9406 0.2462 0.5370  1 H 0.98
O 0.5187 0.3396 0.4097  1 Ge 1.80, 1 H 1.88, 2 Al 1.92-1.97
O 0.2462 0.9406 0.0370  1 H 0.98
O 0.4813 0.6604 0.5903  1 Ge 1.80, 1 H 1.88, 2 Al 1.92-1.97
O 0.6604 0.4813 0.0903  1 Ge 1.80, 1 H 1.88, 2 Al 1.92-1.97
O 0.5697 0.8853 0.2631  1 Ge 1.78, 2 Al 1.91-1.94
O 0.8853 0.5697 0.7631  1 Ge 1.78, 2 Al 1.91-1.94
O 0.7538 0.0594 0.9630  1 H 0.98
O 0.0594 0.7538 0.4630  1 H 0.98
O 0.3396 0.5187 0.9097  1 Ge 1.80, 1 H 1.88, 2 Al 1.92-1.97
O 0.4303 0.1147 0.7369  1 Ge 1.78, 2 Al 1.91-1.94
Al 0.7133 0.4432 0.5862  6 O 1.87-1.97
Al 0.2867 0.5568 0.4138  6 O 1.87-1.97
Al 0.4432 0.7133 0.0862  6 O 1.87-1.97
Al 0.5568 0.2867 0.9138  6 O 1.87-1.97
Ge 0.2808 0.7192 0.7500  4 O 1.78-1.80
Ge 0.7192 0.2808 0.2500  4 O 1.78-1.80


No. 8
Here is a relaxed CuSeIN2 crystal from the Alexandria database. Energies are from PBE-GGA.

formation energy from raw total energies	8.0	eV per formula unit
M_tot	0.751	μB per atom
final energy	-3.550	eV per atom
E above lowest polymorph	0.156	eV per atom

a = 3.9206 Å, b = 3.9206 Å, c = 7.2544 Å
α = 90.00°, β = 90.00°, γ = 90.00°
Last column: nearest neighbours and their distance in Å.
Element x y z (fractional)
Cu 0.0000 0.0000 0.0000  4 N 1.96
N 0.5000 0.0000 0.0000  2 Cu 1.96
N 0.0000 0.5000 0.0000  2 Cu 1.96
Se 0.5000 0.5000 0.5000  4 I 2.77
I 0.0000 0.0000 0.5000  4 Se 2.77


No. 9
Here is a relaxed ZrNb2GaCo crystal from the Alexandria database. Energies are from PBE-GGA.

M_tot	0.008	μB per atom
final energy	-5.917	eV per atom

a = 4.8703 Å, b = 5.0024 Å, c = 4.8703 Å
α = 90.00°, β = 90.00°, γ = 90.00°
Last column: nearest neighbours and their distance in Å.
Element x y z (fractional)
Nb 0.0000 0.0000 0.5000  2 Zr 2.44
Nb 0.5000 0.0000 0.0000  2 Zr 2.44
Co 0.5000 0.5000 0.5000  4 Ga 3.44, 8 Nb 3.49
Ga 0.0000 0.5000 0.0000  2 Zr 2.50
Zr 0.0000 0.0000 0.0000  4 Nb 2.44, 2 Ga 2.50


No. 10
Here is a relaxed SnRhSe3 crystal from the Alexandria database. Energies are from PBE-GGA.

formation energy from raw total energies	0.7	eV per formula unit
M_tot	0.000	μB per atom
final energy	-4.229	eV per atom
E above lowest polymorph	0.519	eV per atom

a = 4.9324 Å, b = 4.9324 Å, c = 4.9324 Å
α = 90.00°, β = 90.00°, γ = 90.00°
Last column: nearest neighbours and their distance in Å.
Element x y z (fractional)
Se 0.0000 0.5000 0.0000  2 Rh 2.47
Se 0.5000 0.0000 0.0000  2 Rh 2.47
Se 0.0000 0.0000 0.5000  2 Rh 2.47
Sn 0.5000 0.5000 0.5000  12 Se 3.49
Rh 0.0000 0.0000 0.0000  6 Se 2.47


No. 11
Here is a relaxed YCdCl2 crystal from the Alexandria database. Energies are from PBE-GGA.

formation energy from raw total energies	-4.8	eV per formula unit
M_tot	0.000	μB per atom
final energy	-3.979	eV per atom
E above lowest polymorph	0.097	eV per atom

a = 7.9035 Å, b = 7.9035 Å, c = 7.9035 Å
α = 155.48°, β = 145.53°, γ = 42.76°
Last column: nearest neighbours and their distance in Å.
Element x y z (fractional)
Cl 0.3359 0.8359 0.5000  2 Y 2.73
Cl 0.0055 0.0055 0.0000  4 Y 2.90
Cd 0.6763 0.1763 0.5000  2 Y 3.31, 2 Cd 3.36, 2 Cl 3.44
Y 0.4824 0.4824 0.0000  6 Cl 2.73-2.90